[1]
# PBE HfHgRh2N, relaxed
# Energy relative to the elements, uncorrected in eV/atom: 1.782
# Uncorrected energy in eV per atom: -4.875
data_HfHgRh2N
_cell_length_a 4.782
_cell_length_b 4.782
_cell_length_c 5.735
_cell_angle_alpha 90.00
_cell_angle_beta 90.00
_cell_angle_gamma 90.00
_symmetry_space_group_name_H-M 'P 4/m m m'
_symmetry_Int_Tables_number 123
_symmetry_space_group_name_Hall '-P 4 2'
loop_
_atom_site_label
_atom_site_type_symbol
_atom_site_fract_x
_atom_site_fract_y
_atom_site_fract_z
Hf1 Hf 0.000 0.000 0.000
Hg1 Hg 0.000 0.000 0.500
Rh1 Rh 0.000 0.500 0.000
N1 N 0.500 0.500 0.500


[2]
# PBE Sm3TmGa4, relaxed
# Uncorrected energy in eV per atom: -4.417
# Distance to the lowest polymorph of the same formula in meV per atom: 0
data_Sm3TmGa4
_cell_length_a 3.612
_cell_length_b 3.612
_cell_length_c 14.514
_cell_angle_alpha 90.00
_cell_angle_beta 90.00
_cell_angle_gamma 90.00
_symmetry_space_group_name_H-M 'P 4/m m m'
_symmetry_Int_Tables_number 123
_symmetry_space_group_name_Hall '-P 4 2'
loop_
_atom_site_label
_atom_site_type_symbol
_atom_site_fract_x
_atom_site_fract_y
_atom_site_fract_z
Sm1 Sm 0.000 0.000 0.000
Sm2 Sm 0.000 0.000 0.256
Tm1 Tm 0.000 0.000 0.500
Ga1 Ga 0.500 0.500 0.128
Ga2 Ga 0.500 0.500 0.386


[3]
# PBE Li2Ac3SiGe6, relaxed
# Energy relative to the elements, uncorrected in eV/atom: -0.323
# Uncorrected energy in eV per atom: -4.429
data_Li2Ac3SiGe6
_cell_length_a 6.3102
_cell_length_b 6.3102
_cell_length_c 8.8047
_cell_angle_alpha 90.00
_cell_angle_beta 90.00
_cell_angle_gamma 120.00
_symmetry_space_group_name_H-M 'P -3 m 1'
_symmetry_Int_Tables_number 164
_symmetry_space_group_name_Hall '-P 3 2"'
loop_
_atom_site_label
_atom_site_type_symbol
_atom_site_fract_x
_atom_site_fract_y
_atom_site_fract_z
Li1 Li 0.3333 0.6667 0.0256
Ac1 Ac 0.0000 0.0000 0.0000
Ac2 Ac 0.3333 0.6667 0.6113
Si1 Si 0.0000 0.0000 0.5000
Ge1 Ge 0.1900 0.3799 0.2797


So what do the calculations give for volume? Going down the list: 131.2, 189.4, 303.6 Å³ per cell.
So what do the calculations give for spin magnetization? Going down the list: 2.76, 0.00, 0.00 μB per formula unit.